The following is a DFT calculation (PBE) of crystalline CaMgSc2Ni at its relaxed geometry.

a = 4.948 Å, b = 4.948 Å, c = 5.082 Å
α = 90.00°, β = 90.00°, γ = 90.00°
Sites, in units of the cell vectors:
Sc1 0.000 0.500 0.000
Sc2 0.500 0.000 0.000
Ni1 0.000 0.000 0.000
Ca1 0.500 0.500 0.500
Mg1 0.000 0.000 0.500

Output
The calculated volume is 124.4 Å³ per cell. For the formation energy from the elements, the calculation gives -0.3 eV/f.u. Its space group is No. 123.